VASP calculation (PBE) on an optimized crystal structure of CeY2PaN4.

The formation energy without anion corrections comes out at -1.636 eV/atom. As for the density: 8.222 g/cm3. As for the energy: -74.7 eV per cell.

It has space group P2/m (No. 10), with a = 6.0660 Å, b = 3.5108 Å, c = 6.0815 Å, α = 90.00°, β = 109.37° and γ = 90.00°. The asymmetric unit holds Ce at (0.0000, 0.0000, 0.0000), Y at (0.5000, 0.0000, 0.5000), Y at (0.5000, 0.5000, 0.0000), Pa at (0.0000, 0.5000, 0.5000), N at (0.2419, 0.0000, 0.7366) and N at (0.2442, 0.5000, 0.2619).